A plane-wave DFT calculation with PBE-GGA was carried out for a relaxed structure of Rb2AgTe2O6.

Properties
As for the uncorrected formation energy: -1042 meV per atom. As for the density of states at the Fermi level: 0.203 states/eV per atom. As for the crystal system: monoclinic.

a = 6.613 Å, b = 6.613 Å, c = 8.659 Å
α = 126.56°, β = 126.56°, γ = 53.03°
Positions (direct):
1 Rb 0.101 0.101 0.324
2 Rb 0.899 0.899 0.676
3 Ag 0.500 0.500 0.500
4 Te 0.293 0.293 0.879
5 Te 0.707 0.707 0.121
6 O 0.093 0.588 0.255
7 O 0.375 0.375 0.752
8 O 0.412 0.907 0.745
9 O 0.588 0.093 0.255
10 O 0.625 0.625 0.248
11 O 0.907 0.412 0.745